Computed, not measured: an optimized crystal structure of CaCeSn4 at the PBE level of DFT.

POSCAR file:
```
CaCeSn4
1.0
-4.1778 -4.4732 -1.2499
1.6057 -4.8617 -3.5794
0.6420 -5.6714 2.5396
Ce Sn Ca
1 4 1
direct
0.2500 0.2500 0.2500
0.1250 0.6250 0.6250
0.6250 0.1250 0.6250
0.6250 0.6250 0.6250
0.6250 0.6250 0.1250
0.0000 0.0000 0.0000
```

Results
Total magnetization in μB per formula unit: 1.8
Energy relative to the elements in eV/atom: -0.33
DOS(E_F) in states/eV/cell: 10.6

---

Computed, not measured: an optimized crystal structure of Tm6TlRh5 at the PBE level of DFT.

POSCAR file:
```
Tm6TlRh5
1.0
4.6831 0.0019 -0.9722
-0.0031 7.1023 -0.0007
-0.8590 0.0004 7.5314
Tm Rh Tl
6 5 1
direct
0.8276 0.2551 0.6555
0.8276 0.7449 0.6555
0.5000 0.2677 0.0000
0.5000 0.7323 0.0000
0.1724 0.2551 0.3445
0.1724 0.7449 0.3445
0.3341 0.0000 0.6682
0.3329 0.5000 0.6660
0.0000 0.5000 0.0000
0.6671 0.5000 0.3340
0.6659 0.0000 0.3318
0.0000 0.0000 0.0000
```

Results
Total magnetization in μB per formula unit: 0.0
Energy relative to the elements in eV/atom: -0.81
DOS(E_F) in states/eV/cell: 5.0